No. 1
Computed, not measured: a crystal of RbHSO4 relaxed with PBEsol at the meta-GGA SCAN level of DFT.

Cell lengths 14.3738, 4.4797, 14.7549 Å; angles 90.00, 119.75, 90.00 degrees
With the nearest neighbours (Å) after each atom.
Fractional positions:
Rb: 0.1234 0.2207 0.1620  9 O 2.88-3.19
Rb: 0.1234 0.2793 0.6620  9 O 2.88-3.19
Rb: 0.3745 0.6121 0.0799  8 O 2.86-3.08
Rb: 0.3745 0.8879 0.5799  8 O 2.86-3.08
Rb: 0.6255 0.1121 0.4201  8 O 2.86-3.08
Rb: 0.6255 0.3879 0.9201  8 O 2.86-3.08
Rb: 0.8766 0.7207 0.3380  9 O 2.88-3.19
Rb: 0.8766 0.7793 0.8380  9 O 2.88-3.19
H: 0.1209 0.7375 0.3573  1 O 1.07
H: 0.1209 0.7625 0.8573  1 O 1.07
H: 0.3656 0.2207 0.3771  1 O 1.06
H: 0.3656 0.2793 0.8771  1 O 1.06
H: 0.6344 0.7207 0.1229  1 O 1.06
H: 0.6344 0.7793 0.6229  1 O 1.06
H: 0.8791 0.2375 0.1427  1 O 1.07
H: 0.8791 0.2625 0.6427  1 O 1.07
S: 0.1262 0.2224 0.9186  4 O 1.46-1.56
S: 0.1262 0.2776 0.4186  4 O 1.46-1.56
S: 0.3730 0.6741 0.3216  4 O 1.46-1.56
S: 0.3730 0.8259 0.8216  4 O 1.46-1.56
S: 0.6270 0.1741 0.1784  4 O 1.46-1.56
S: 0.6270 0.3259 0.6784  4 O 1.46-1.56
S: 0.8738 0.7224 0.5814  4 O 1.46-1.56
S: 0.8738 0.7776 0.0814  4 O 1.46-1.56
O: 0.0334 0.1912 0.4282  1 S 1.46
O: 0.0334 0.3088 0.9282  1 S 1.46
O: 0.0864 0.5216 0.3315  1 H 1.07
O: 0.0864 0.9784 0.8315  1 H 1.07
O: 0.1638 0.0285 0.3779  1 H 1.41, 1 S 1.49
O: 0.1638 0.4715 0.8779  1 H 1.41, 1 S 1.49
O: 0.2142 0.1001 0.0147  1 S 1.46
O: 0.2142 0.3999 0.5147  1 S 1.46
O: 0.2799 0.7472 0.2208  1 S 1.46
O: 0.2799 0.7528 0.7208  1 S 1.46
O: 0.3358 0.0610 0.8751  1 H 1.06
O: 0.3358 0.4390 0.3751  1 H 1.06
O: 0.4089 0.5688 0.8949  1 H 1.41, 1 S 1.49
O: 0.4089 0.9312 0.3949  1 H 1.41, 1 S 1.49
O: 0.4623 0.5495 0.3131  1 S 1.46
O: 0.4623 0.9505 0.8131  1 S 1.46
O: 0.5377 0.0495 0.1869  1 S 1.46
O: 0.5377 0.4505 0.6869  1 S 1.46
O: 0.5911 0.0688 0.6051  1 H 1.41, 1 S 1.49
O: 0.5911 0.4312 0.1051  1 H 1.41, 1 S 1.49
O: 0.6642 0.5610 0.6249  1 H 1.06
O: 0.6642 0.9390 0.1249  1 H 1.06
O: 0.7201 0.2472 0.2792  1 S 1.46
O: 0.7201 0.2528 0.7792  1 S 1.46
O: 0.7858 0.6001 0.4853  1 S 1.46
O: 0.7858 0.8999 0.9853  1 S 1.46
O: 0.8362 0.5285 0.1221  1 H 1.41, 1 S 1.49
O: 0.8362 0.9715 0.6221  1 H 1.41, 1 S 1.49
O: 0.9136 0.0216 0.1685  1 H 1.07
O: 0.9136 0.4784 0.6685  1 H 1.07
O: 0.9666 0.6912 0.0718  1 S 1.46
O: 0.9666 0.8088 0.5718  1 S 1.46

SG = No. 14

=====

No. 2
Computed, not measured: a crystal of Rb3HS2O8 relaxed with PBEsol at the meta-GGA SCAN level of DFT.

Cell lengths 8.1272, 8.1272, 10.0723 Å; angles 102.03, 102.03, 42.56 degrees
With the nearest neighbours (Å) after each atom.
Fractional positions:
Rb: 0.0565 0.5635 0.0972  7 O 2.83-3.16, 2 H 2.93
Rb: 0.2223 0.7777 0.5000  9 O 2.94-3.11
Rb: 0.3949 0.8439 0.1955  9 O 2.94-3.09
Rb: 0.5635 0.0565 0.5972  7 O 2.83-3.16, 2 H 2.93
Rb: 0.7777 0.2223 0.0000  9 O 2.94-3.11
Rb: 0.8439 0.3949 0.6955  9 O 2.94-3.09
H: 0.2895 0.3275 0.3532  1 O 1.13
H: 0.3275 0.2895 0.8532  1 O 1.13
S: 0.2065 0.6411 0.8117  4 O 1.47-1.53
S: 0.4124 0.9710 0.8824  4 O 1.46-1.57
S: 0.6411 0.2065 0.3117  4 O 1.47-1.53
S: 0.9710 0.4124 0.3824  4 O 1.46-1.57
O: 0.0046 0.8678 0.7435  1 S 1.47
O: 0.1149 0.4785 0.4050  1 H 1.13
O: 0.1316 0.1801 0.4435  1 S 1.47
O: 0.1488 0.4951 0.7920  1 H 1.33
O: 0.1801 0.1316 0.9435  1 S 1.47
O: 0.2322 0.6920 0.9606  1 S 1.48
O: 0.3878 0.9254 0.7338  1 S 1.47
O: 0.4402 0.4855 0.7517  1 S 1.48
O: 0.4785 0.1149 0.9050  1 H 1.13
O: 0.4855 0.4402 0.2517  1 S 1.48
O: 0.4951 0.1488 0.2920  1 H 1.33
O: 0.6158 0.7466 0.9508  1 S 1.46
O: 0.6920 0.2322 0.4606  1 S 1.48
O: 0.7466 0.6158 0.4508  1 S 1.46
O: 0.8678 0.0046 0.2435  1 S 1.47
O: 0.9254 0.3878 0.2338  1 S 1.47

relative energy among the computed polymorphs = 0 meV/atom
SG = No. 9

=====

No. 3
Computed, not measured: a crystal of RbVH6SO9 relaxed with PBEsol at the meta-GGA SCAN level of DFT.

Cell lengths 6.2011, 9.7711, 6.5952 Å; angles 90.00, 108.04, 90.00 degrees
With the nearest neighbours (Å) after each atom.
Fractional positions:
Rb: 0.1871 0.0000 0.1831  10 O 2.85-3.16, 1 H 3.13
Rb: 0.8129 0.5000 0.8169  10 O 2.85-3.16, 1 H 3.13
V: 0.1250 0.3493 0.3854  2 O 1.62-1.67
V: 0.8750 0.8493 0.6146  2 O 1.62-1.67
H: 0.0254 0.1146 0.6500  1 O 1.00
H: 0.2017 0.6161 0.2649  1 O 1.03
H: 0.2801 0.5603 0.6929  1 O 1.00
H: 0.3258 0.4254 0.8284  1 O 1.00
H: 0.3887 0.6891 0.0675  1 O 0.99
H: 0.4614 0.1985 0.6921  1 O 1.00
H: 0.5386 0.6985 0.3079  1 O 1.00
H: 0.6113 0.1891 0.9325  1 O 0.99
H: 0.6742 0.9254 0.1716  1 O 1.00
H: 0.7199 0.0603 0.3071  1 O 1.00
H: 0.7983 0.1161 0.7351  1 O 1.03
H: 0.9746 0.6146 0.3500  1 O 1.00
S: 0.4148 0.8498 0.7338  4 O 1.46-1.51
S: 0.5852 0.3498 0.2662  4 O 1.46-1.51
O: 0.0479 0.2912 0.1432  1 V 1.62
O: 0.0728 0.5572 0.2878  2 H 1.00-1.03
O: 0.1791 0.8786 0.5862  1 S 1.51
O: 0.1838 0.2084 0.5358  1 V 1.67, 2 H 1.68-1.71
O: 0.2245 0.4645 0.6928  2 H 1.00
O: 0.3789 0.7068 0.2116  2 H 0.99-1.00
O: 0.4401 0.7031 0.7860  1 S 1.47
O: 0.4418 0.3915 0.4035  1 S 1.51
O: 0.4657 0.9348 0.9242  1 S 1.46
O: 0.5343 0.4348 0.0758  1 S 1.46
O: 0.5582 0.8915 0.5965  1 S 1.51
O: 0.5599 0.2031 0.2140  1 S 1.47
O: 0.6211 0.2068 0.7884  2 H 0.99-1.00
O: 0.7755 0.9645 0.3072  2 H 1.00
O: 0.8162 0.7084 0.4642  1 V 1.67, 2 H 1.68-1.71
O: 0.8209 0.3786 0.4138  1 S 1.51
O: 0.9272 0.0572 0.7122  2 H 1.00-1.03
O: 0.9521 0.7912 0.8568  1 V 1.62

SG = No. 4

=====

No. 4
Computed, not measured: a crystal of Rb2ZnH12S2O14 relaxed with PBEsol at the meta-GGA SCAN level of DFT.

Cell lengths 6.2155, 12.2902, 9.0488 Å; angles 90.00, 105.20, 90.00 degrees
With the nearest neighbours (Å) after each atom.
Fractional positions:
Rb: 0.1552 0.1516 0.3682  8 O 2.86-3.16, 1 H 3.02
Rb: 0.1552 0.3484 0.8682  8 O 2.86-3.16, 1 H 3.02
Rb: 0.8448 0.6516 0.1318  8 O 2.86-3.16, 1 H 3.02
Rb: 0.8448 0.8484 0.6318  8 O 2.86-3.16, 1 H 3.02
Zn: 0.5000 0.0000 0.0000  6 O 2.03-2.15
Zn: 0.5000 0.5000 0.5000  6 O 2.03-2.15
H: 0.1626 0.5595 0.6025  1 O 1.00
H: 0.1626 0.9405 0.1025  1 O 1.00
H: 0.1762 0.0944 0.7869  1 O 1.00
H: 0.1762 0.4056 0.2869  1 O 1.00
H: 0.1781 0.6442 0.4724  1 O 1.00
H: 0.1781 0.8558 0.9724  1 O 1.00
H: 0.4125 0.1292 0.7545  1 O 1.00
H: 0.4125 0.3708 0.2545  1 O 1.00
H: 0.4201 0.5978 0.2193  1 O 1.01
H: 0.4201 0.9022 0.7193  1 O 1.01
H: 0.4886 0.6897 0.3486  1 O 1.00
H: 0.4886 0.8103 0.8486  1 O 1.00
H: 0.5114 0.1897 0.1514  1 O 1.00
H: 0.5114 0.3103 0.6514  1 O 1.00
H: 0.5799 0.0978 0.2807  1 O 1.01
H: 0.5799 0.4022 0.7807  1 O 1.01
H: 0.5875 0.6292 0.7455  1 O 1.00
H: 0.5875 0.8708 0.2455  1 O 1.00
H: 0.8219 0.1442 0.0276  1 O 1.00
H: 0.8219 0.3558 0.5276  1 O 1.00
H: 0.8238 0.5944 0.7131  1 O 1.00
H: 0.8238 0.9056 0.2131  1 O 1.00
H: 0.8374 0.0595 0.8975  1 O 1.00
H: 0.8374 0.4405 0.3975  1 O 1.00
S: 0.2294 0.6388 0.9023  4 O 1.48-1.50
S: 0.2294 0.8612 0.4023  4 O 1.48-1.50
S: 0.7706 0.1388 0.5977  4 O 1.48-1.50
S: 0.7706 0.3612 0.0977  4 O 1.48-1.50
O: 0.0902 0.7351 0.9143  1 S 1.49, 1 H 1.62
O: 0.0902 0.7649 0.4143  1 S 1.49, 1 H 1.62
O: 0.1041 0.5707 0.7708  1 S 1.50, 1 H 1.66
O: 0.1041 0.9293 0.2708  1 S 1.50, 1 H 1.66
O: 0.2019 0.5656 0.5023  2 H 1.00
O: 0.2019 0.9344 0.0023  2 H 1.00
O: 0.2706 0.5723 0.0434  1 S 1.48, 1 H 1.65
O: 0.2706 0.9277 0.5434  1 S 1.48, 1 H 1.65
O: 0.3338 0.1168 0.8359  2 H 1.00
O: 0.3338 0.3832 0.3359  2 H 1.00
O: 0.4448 0.6757 0.8747  1 S 1.50
O: 0.4448 0.8243 0.3747  1 S 1.50
O: 0.4781 0.1133 0.1767  2 H 1.00-1.01
O: 0.4781 0.3867 0.6767  2 H 1.00-1.01
O: 0.5219 0.6133 0.3233  2 H 1.00-1.01
O: 0.5219 0.8867 0.8233  2 H 1.00-1.01
O: 0.5552 0.1757 0.6253  1 S 1.50
O: 0.5552 0.3243 0.1253  1 S 1.50
O: 0.6662 0.6168 0.6641  2 H 1.00
O: 0.6662 0.8832 0.1641  2 H 1.00
O: 0.7294 0.0723 0.4566  1 S 1.48, 1 H 1.65
O: 0.7294 0.4277 0.9566  1 S 1.48, 1 H 1.65
O: 0.7981 0.0656 0.9977  2 H 1.00
O: 0.7981 0.4344 0.4977  2 H 1.00
O: 0.8959 0.0707 0.7292  1 S 1.50, 1 H 1.66
O: 0.8959 0.4293 0.2292  1 S 1.50, 1 H 1.66
O: 0.9098 0.2351 0.5857  1 S 1.49, 1 H 1.62
O: 0.9098 0.2649 0.0857  1 S 1.49, 1 H 1.62

SG = No. 14

=====

Going through the records in order, we get electronic total energy values of -0.7446, -0.8497, -0.6264, -0.5862 Ry per atom.
Going through the records in order, we get size of the total moment values of 0.000, 0.013, 0.005, 0.000 μB per atom.